# Hf2Al2Ag

An optimized crystal structure of Hf2Al2Ag (GGA-PBE, the Open Quantum Materials Database).

Output
Total DFT energy (no corrections) ... -28.313 eV per formula unit
M_tot ... 0.00 μB/f.u.

a = 6.921 Å, b = 6.921 Å, c = 6.921 Å
α = 145.13°, β = 145.13°, γ = 50.13°
Element x y z (fractional)
Hf 0.250 0.750 0.500
Hf 0.750 0.250 0.500
Al 0.597 0.597 0.000
Al 0.403 0.403 0.000
Ag 0.000 0.000 0.000

# NaZrTa

An optimized crystal structure of NaZrTa (GGA-PBE, the Open Quantum Materials Database).

Output
Energy relative to the lowest polymorph listed for this composition ... 0 meV per atom
Total DFT energy (no corrections) ... -16.651 eV per formula unit
M_tot ... 2.76 μB/f.u.

a = 4.813 Å, b = 4.813 Å, c = 4.813 Å
α = 60.00°, β = 60.00°, γ = 60.00°
Element x y z (fractional)
Ta 0.000 0.000 0.000
Na 0.250 0.250 0.250
Zr 0.750 0.750 0.750

# TbTm3Pb2N2

An optimized crystal structure of TbTm3Pb2N2 (GGA-PBE, the Open Quantum Materials Database).

Output
Total DFT energy (no corrections) ... -51.001 eV per formula unit
M_tot ... 0.01 μB/f.u.

a = 3.510 Å, b = 3.510 Å, c = 15.428 Å
α = 90.00°, β = 90.00°, γ = 120.00°
Element x y z (fractional)
Tm 0.333 0.667 0.916
Tm 0.333 0.667 0.583
Tm 0.000 0.000 0.418
Pb 0.000 0.000 0.749
Pb 0.333 0.667 0.253
N 0.667 0.333 0.501
N 0.667 0.333 0.995
Tb 0.000 0.000 0.084